# SrBAs

A relaxed SrBAs crystal (PBE, Alexandria via LeMat-Bulk).

Calculated values
**Total moment**: 0.00 μB per cell
**DOS at the Fermi energy**: 0.118 states/eV per atom
**E_tot**: -4.862 eV per atom
**ΔH_f (0 K)**: -0.526 eV per atom
**Calculated volume**: 22.69 Å³/atom

Unit cell a=4.3921 b=4.6636 c=7.3784 alpha=108.42 beta=107.32 gamma=90.00
Element x y z (fractional)
1 Sr 0.6385 0.1385 0.2770
2 Sr 0.3615 0.8615 0.7230
3 B 0.6819 0.5000 0.0000
4 B 0.3181 0.5000 0.0000
5 As 0.1198 0.6198 0.2396
6 As 0.8802 0.3802 0.7604